DFT (PBE+U) results for a relaxed structure of CrSnF2.

Values from the calculation:
Polymorph energy (0 for the lowest one) ... 0.263 eV/atom
Space group ... I-42d
Raw total energy ... -5.109 eV per atom
ρ ... 4.1 g/cm3
Calculated volume ... 84.5 Å³/f.u.

Cell lengths 5.6633, 5.6633, 6.6196 Å; angles 64.67, 64.67, 90.00 degrees
Sites, in units of the cell vectors:
F (0.3750, 0.5200, 0.7500)
F (0.2700, 0.6250, 0.2500)
F (0.8750, 0.7300, 0.7500)
F (0.4800, 0.1250, 0.2500)
Sn (0.0000, 0.0000, 0.0000)
Sn (0.7500, 0.2500, 0.5000)
Cr (0.5000, 0.5000, 0.0000)
Cr (0.2500, 0.7500, 0.5000)